No. 1
## MgReTe2 (PBE)

Data for crystalline MgReTe2 at its relaxed geometry.

POSCAR file:
```
MgReTe2
1.0
1.754 -2.585 0.000
1.754 2.585 0.000
0.000 0.000 10.423
Mg Re Te
1 1 2
Direct
0.000 0.000 0.000
0.500 0.500 0.204
0.000 0.000 0.396
0.500 0.500 0.757
```

Space group: Cmm2 (35)
D(E_F) in states/eV per cell: 3.2
DFT total energy in eV/atom: -4.6492


No. 2
## PuBi2PdN (PBE)

Data for crystalline PuBi2PdN at its relaxed geometry.

POSCAR file:
```
PuBi2PdN
1.0
3.880 0.000 0.000
0.000 3.880 0.000
0.000 0.000 15.717
Pu Bi Pd N
2 4 2 2
Direct
0.250 0.250 0.069
0.750 0.750 0.931
0.250 0.250 0.427
0.250 0.250 0.789
0.750 0.750 0.211
0.750 0.750 0.573
0.250 0.250 0.613
0.750 0.750 0.387
0.250 0.750 0.000
0.750 0.250 0.000
```

Space group: P4/nmm (129)
D(E_F) in states/eV per cell: 15.5
DFT total energy in eV/atom: -7.6922